Version P
Material: NaYGeO4
Method: DFT, GGA-PBE
State: relaxed

Unit cell a=5.3348 b=6.5221 c=11.5309 alpha=90.00 beta=90.00 gamma=90.00
Sites, in units of the cell vectors:
1 O 0.8258 0.2500 0.5453
2 O 0.2281 0.2500 0.8895
3 Na 0.0000 0.5000 0.0000
4 O 0.7281 0.7500 0.6105
5 Y 0.5040 0.2500 0.2223
6 O 0.2077 0.5427 0.6740
7 O 0.7077 0.4573 0.8260
8 O 0.2923 0.9573 0.1740
9 O 0.7923 0.0427 0.3260
10 O 0.7719 0.7500 0.1105
11 Ge 0.0543 0.7500 0.5973
12 O 0.1742 0.7500 0.4547
13 Ge 0.4457 0.7500 0.0973
14 O 0.6742 0.2500 0.0453
15 O 0.3258 0.7500 0.9547
16 Y 0.0040 0.7500 0.2777
17 Na 0.5000 0.0000 0.5000
18 Ge 0.5543 0.2500 0.9027
19 Na 0.5000 0.5000 0.5000
20 Na 0.0000 0.0000 0.0000
21 O 0.2719 0.2500 0.3895
22 Y 0.4960 0.7500 0.7777
23 Ge 0.9457 0.2500 0.4027
24 O 0.7923 0.4573 0.3260
25 O 0.7077 0.0427 0.8260
26 O 0.2923 0.5427 0.1740
27 Y 0.9960 0.2500 0.7223
28 O 0.2077 0.9573 0.6740

Values from the calculation:
**Total magnetization**: 0.00 μB/cell



Version Q
Material: NaYGeO4
Method: DFT, GGA-PBE
State: relaxed

Unit cell a=6.0417 b=6.3446 c=6.3446 alpha=64.93 beta=61.57 gamma=61.57
Sites, in units of the cell vectors:
1 O 0.2564 0.2750 0.2122
2 Y 0.0000 0.5000 0.5000
3 O 0.7436 0.7250 0.7878
4 Na 0.0000 0.0000 0.5000
5 O 0.2653 0.7409 0.2409
6 Ge 0.3668 0.3832 0.8832
7 Ge 0.6332 0.6168 0.1168
8 Na 0.5000 0.0000 0.5000
9 Y 0.0000 0.0000 0.0000
10 O 0.2471 0.2591 0.7591
11 O 0.7436 0.2878 0.2250
12 O 0.2564 0.7122 0.7750
13 O 0.7529 0.7409 0.2409
14 O 0.7347 0.2591 0.7591

Values from the calculation:
**Total magnetization**: 0.00 μB/cell



version P takes first place; second place is 158 meV/atom up.



Version P
Material: NaGeOs
Method: DFT, GGA-PBE
State: relaxed

Unit cell a=3.9407 b=4.0054 c=7.4167 alpha=90.00 beta=90.65 gamma=90.00
Sites, in units of the cell vectors:
1 Ge 0.7626 0.2500 0.2878
2 Na 0.7466 0.2500 0.8541
3 Os 0.2645 0.2500 0.5016
4 Ge 0.2374 0.7500 0.7122
5 Os 0.7355 0.7500 0.4984
6 Na 0.2534 0.7500 0.1459

Values from the calculation:
**Total magnetization**: 0.00 μB/cell



Version Q
Material: NaGeOs
Method: DFT, GGA-PBE
State: relaxed

Unit cell a=7.2973 b=2.8927 c=10.9326 alpha=90.00 beta=92.57 gamma=90.00
Sites, in units of the cell vectors:
1 Os 0.5993 0.0000 0.0330
2 Os 0.5717 0.0000 0.7348
3 Os 0.5993 0.5000 0.5330
4 Na 0.2205 0.5000 0.6207
5 Ge 0.3901 0.0000 0.3871
6 Na 0.2205 0.0000 0.1207
7 Ge 0.3901 0.5000 0.8871
8 Os 0.5717 0.5000 0.2348
9 Na 0.9052 0.5000 0.8608
10 Na 0.9052 0.0000 0.3608
11 Ge 0.8561 0.5000 0.1174
12 Ge 0.8561 0.0000 0.6174

Values from the calculation:
**Total magnetization**: 0.00 μB/cell



version P takes first place; second place is 134 meV/atom up.